RbTc2Se3 PBE optimized geometry; total moment = 0.00 μB/cell; DOS at the Fermi energy = 2.76 states/eV/f.u.; total energy = -5.70 eV per atom
1.0
-0.586 -1.860 -3.113
6.492 2.208 -2.541
1.367 -10.441 8.149
Se Rb Tc
6 2 4
Cartesian
1.036 -3.341 -0.366
4.791 1.629 -1.874
6.238 -6.753 2.862
5.034 -4.814 -0.238
2.240 -5.279 2.733
2.483 -11.722 4.370
3.265 -8.268 4.326
4.009 -1.825 -1.831
6.651 -8.935 1.920
2.669 -5.017 0.328
0.623 -1.158 0.575
4.605 -5.076 2.167